VASP calculation (PBE with a Hubbard U) on Hf2CoHgO after structural relaxation.

```
Hf2CoHgO
1.0
5.179 0.000 0.000
0.000 5.179 0.000
0.000 0.000 4.546
Hf Co Hg O
2 1 1 1
Direct
0.000 0.500 0.000
0.500 0.000 0.000
0.000 0.000 0.500
0.000 0.000 0.000
0.500 0.500 0.500
```

Summary:
Final energy   -4.218 eV/atom
Fermi-level density of states   1.200 states/eV/atom
SG   No. 123